A relaxed YSc5 crystal, computed with PBE.

abc: 6.135 6.135 6.135
angles: 60.00 60.00 60.00
Each line ends with the local moment (μB).
Element x y z (fractional)
Y (0.000, 0.000, 0.000)  0.28
Sc (0.624, 0.624, 0.127)  0.15
Sc (0.250, 0.250, 0.250)  0.12
Sc (0.127, 0.624, 0.624)  0.15
Sc (0.624, 0.624, 0.624)  0.15
Sc (0.624, 0.127, 0.624)  0.15

symmetry	F-43m (216)
energy above the lowest structure with this stoichiometry	221	meV/atom
density of states at the Fermi level	15.2	states/eV/cell
total DFT energy (no corrections)	-6.12	eV per atom
formation energy	0.2376	eV per atom
magnetic moment	1.95	μB/f.u.


A relaxed Y3Sc crystal, computed with PBE.

abc: 3.420 6.546 6.546
angles: 117.03 79.97 79.97
Each line ends with the local moment (μB).
Element x y z (fractional)
Y (0.500, 0.500, 0.000)  0.10
Y (0.000, 0.500, 0.500)  0.10
Y (0.500, 0.000, 0.500)  0.10
Sc (0.000, 0.000, 0.000)  0.21

symmetry	R-3m (166)
energy above the lowest structure with this stoichiometry	131	meV/atom
density of states at the Fermi level	10.0	states/eV/cell
total DFT energy (no corrections)	-6.28	eV per atom
formation energy	0.1483	eV per atom
magnetic moment	1.00	μB/f.u.


A relaxed Y5Sc crystal, computed with PBE.

abc: 3.603 6.647 8.349
angles: 77.63 90.00 105.72
Element x y z (fractional)
Y (0.392, 0.784, 0.730)
Y (0.667, 0.333, 0.669)
Y (0.336, 0.672, 0.325)
Y (0.718, 0.435, 0.053)
Y (0.055, 0.110, 0.387)
Sc (0.999, 0.999, 0.002)

symmetry	Cm (8)
density of states at the Fermi level	11.1	states/eV/cell
total DFT energy (no corrections)	-6.43	eV per atom
formation energy	0.0156	eV per atom
magnetic moment	0.00	μB/f.u.


A relaxed YSc crystal, computed with PBE.

abc: 4.423 4.423 4.423
angles: 60.00 60.00 60.00
Each line ends with the local moment (μB).
Element x y z (fractional)
Sc (0.000, 0.000, 0.000)  0.60
Y (0.500, 0.500, 0.500)  0.41

symmetry	Fm-3m (225)
energy above the lowest structure with this stoichiometry	726	meV/atom
density of states at the Fermi level	3.6	states/eV/cell
total DFT energy (no corrections)	-5.65	eV per atom
formation energy	0.7483	eV per atom
magnetic moment	1.50	μB/f.u.


A relaxed YSc crystal, computed with PBE.

abc: 3.442 3.442 9.549
angles: 90.00 90.00 90.00
Element x y z (fractional)
Y (0.250, 0.250, 0.637)
Y (0.750, 0.750, 0.363)
Sc (0.250, 0.250, 0.112)
Sc (0.750, 0.750, 0.888)

symmetry	P4/nmm (129)
energy above the lowest structure with this stoichiometry	38	meV/atom
density of states at the Fermi level	7.3	states/eV/cell
total DFT energy (no corrections)	-6.34	eV per atom
formation energy	0.0611	eV per atom
magnetic moment	0.00	μB/f.u.


A relaxed Y3Sc crystal, computed with PBE.

abc: 6.162 6.593 3.575
angles: 74.27 90.00 117.86
Element x y z (fractional)
Y (0.494, 0.000, 0.500)
Y (0.592, 0.513, 0.744)
Y (0.079, 0.487, 0.256)
Sc (0.001, 0.000, 0.000)

symmetry	Imm2 (44)
energy above the lowest structure with this stoichiometry	6	meV/atom
density of states at the Fermi level	7.5	states/eV/cell
total DFT energy (no corrections)	-6.41	eV per atom
formation energy	0.0237	eV per atom
magnetic moment	0.01	μB/f.u.


- Which value of magnetic moment does entry 5 give?
  0.00 μB/f.u.


- The lowest formation energy belongs to which entry?
  Y5Sc